(1)
The following is a PBE-GGA calculation of a relaxed structure of Tb2PuBe, from Alexandria.

- space group = R-3m, No. 166
- DOS at the Fermi energy (states/eV/f.u.) = 10.8
- crystal system = trigonal
- excess energy over the best structure of this formula in the dataset (eV per formula unit) = 1.239
- formation energy from the elements (eV per formula unit) = 1.84

Cell: 3.4074 3.4074 10.9594 Å, 81.06 81.06 60.00°
Closest atoms and distances in Å follow each position.
Atoms (fractional coordinates):
Tb: 0.8954 0.8954 0.3138  3 Be 2.81
Pu: 0.0000 0.0000 0.0000  2 Tb 3.38, 6 Pu 3.41
Tb: 0.1046 0.1046 0.6862  3 Be 2.81
Be: 0.5000 0.5000 0.5000  6 Tb 2.81

(2)
The following is a PBE-GGA calculation of a relaxed structure of TbPuBe, from Alexandria.

- space group = C2/m, No. 12
- DOS at the Fermi energy (states/eV/f.u.) = 8.0
- crystal system = monoclinic
- formation energy from the elements (eV per formula unit) = 0.57

Cell: 4.4270 5.7398 6.2339 Å, 70.38 69.20 67.32°
Closest atoms and distances in Å follow each position.
Atoms (fractional coordinates):
Tb: 0.9208 0.8206 0.3378  3 Be 2.83-3.01
Be: 0.6229 0.3787 0.3756  1 Be 2.15
Pu: 0.3259 0.2854 0.0629  3 Be 2.76-2.98
Pu: 0.6741 0.7146 0.9371  3 Be 2.76-2.98
Be: 0.3771 0.6213 0.6244  1 Be 2.15
Tb: 0.0792 0.1794 0.6622  3 Be 2.83-3.01

(3)
The following is a PBE-GGA calculation of a relaxed structure of Tb2PuBe, from Alexandria.

- space group = P4/mmm, No. 123
- DOS at the Fermi energy (states/eV/f.u.) = 9.1
- crystal system = tetragonal
- excess energy over the best structure of this formula in the dataset (eV per formula unit) = 0.000
- formation energy from the elements (eV per formula unit) = 0.60

Cell: 3.4338 3.4338 8.4543 Å, 90.00 90.00 90.00°
Closest atoms and distances in Å follow each position.
Atoms (fractional coordinates):
Tb: 0.0000 0.0000 0.8040  4 Be 2.94
Be: 0.5000 0.5000 0.0000  8 Tb 2.94
Pu: 0.5000 0.5000 0.5000  4 Pu 3.43, 8 Tb 3.54
Tb: 0.0000 0.0000 0.1960  4 Be 2.94

(4)
The following is a PBE-GGA calculation of a relaxed structure of Pu2BeTc, from Alexandria.

- space group = P4/mmm, No. 123
- DOS at the Fermi energy (states/eV/f.u.) = 7.6
- crystal system = tetragonal
- formation energy from the elements (eV per formula unit) = 1.59

Cell: 4.7967 3.5242 3.5242 Å, 90.00 90.00 90.00°
Closest atoms and distances in Å follow each position.
Atoms (fractional coordinates):
Be: 0.5000 0.5000 0.5000  4 Tc 2.49
Pu: 0.0000 0.0000 0.5000  4 Pu 2.49
Tc: 0.5000 0.0000 0.0000  4 Be 2.49
Pu: 0.0000 0.5000 0.0000  4 Pu 2.49

(5)
The following is a PBE-GGA calculation of a relaxed structure of PuBe17Tc, from Alexandria.

- space group = R3m, No. 160
- DOS at the Fermi energy (states/eV/f.u.) = 11.9
- crystal system = trigonal
- formation energy from the elements (eV per formula unit) = -0.83

Cell: 5.6527 5.6527 5.6527 Å, 82.77 82.77 82.77°
Closest atoms and distances in Å follow each position.
Atoms (fractional coordinates):
Be: 0.1647 0.6505 0.6505  9 Be 2.18-2.41
Be: 0.9085 0.9085 0.9085  4 Be 2.10-2.30
Be: 0.2875 0.7060 0.0067  8 Be 2.10-2.31
Be: 0.6505 0.1647 0.6505  9 Be 2.18-2.41
Be: 0.3408 0.8549 0.3408  9 Be 2.13-2.30
Be: 0.7060 0.0067 0.2875  8 Be 2.10-2.31
Tc: 0.3256 0.3256 0.3256  13 Be 2.47-2.75
Be: 0.7060 0.2875 0.0067  8 Be 2.10-2.31
Be: 0.0004 0.0004 0.5010  10 Be 2.12-2.30
Be: 0.0004 0.5010 0.0004  10 Be 2.12-2.30
Be: 0.2875 0.0067 0.7060  8 Be 2.10-2.31
Be: 0.5010 0.0004 0.0004  10 Be 2.12-2.30
Pu: 0.6613 0.6613 0.6613  19 Be 2.70-2.87
Be: 0.1003 0.1003 0.1003  7 Be 2.10-2.28
Be: 0.6505 0.6505 0.1647  9 Be 2.18-2.41
Be: 0.0067 0.7060 0.2875  8 Be 2.10-2.31
Be: 0.3408 0.3408 0.8549  9 Be 2.13-2.30
Be: 0.0067 0.2875 0.7060  8 Be 2.10-2.31
Be: 0.8549 0.3408 0.3408  9 Be 2.13-2.30

(6)
The following is a PBE-GGA calculation of a relaxed structure of Pu2BeTc, from Alexandria.

- space group = P4/mmm, No. 123
- DOS at the Fermi energy (states/eV/f.u.) = 10.3
- crystal system = tetragonal
- formation energy from the elements (eV per formula unit) = 0.79

Cell: 3.4842 3.4842 6.0317 Å, 90.00 90.00 90.00°
Closest atoms and distances in Å follow each position.
Atoms (fractional coordinates):
Pu: 0.0000 0.0000 0.7650  1 Pu 2.84, 4 Be 2.84, 4 Tc 2.94
Be: 0.5000 0.5000 0.0000  8 Pu 2.84, 2 Tc 3.02
Pu: 0.0000 0.0000 0.2350  1 Pu 2.84, 4 Be 2.84, 4 Tc 2.94
Tc: 0.5000 0.5000 0.5000  8 Pu 2.94, 2 Be 3.02

(7)
The following is a PBE-GGA calculation of a relaxed structure of PuBeTe, from Alexandria.

- space group = Cmcm, No. 63
- formation energy without anion corrections (meV/atom) = -58
- DOS at the Fermi energy (states/eV/f.u.) = 2.9
- crystal system = orthorhombic

Cell: 3.4045 4.3413 9.5750 Å, 76.90 90.00 90.00°
Closest atoms and distances in Å follow each position.
Atoms (fractional coordinates):
Pu: 0.7500 0.0431 0.9138  2 Pu 2.34, 2 Be 2.60
Te: 0.7500 0.3440 0.3120  1 Be 2.29
Be: 0.2500 0.5333 0.9333  2 Be 2.11, 1 Te 2.29
Be: 0.7500 0.4667 0.0667  2 Be 2.11, 1 Te 2.29
Pu: 0.2500 0.9569 0.0862  2 Pu 2.34, 2 Be 2.60
Te: 0.2500 0.6560 0.6880  1 Be 2.29

(8)
The following is a PBE-GGA calculation of a relaxed structure of PuTiBe17, from Alexandria.

- space group = R3m, No. 160
- DOS at the Fermi energy (states/eV/f.u.) = 10.5
- crystal system = trigonal
- formation energy from the elements (eV per formula unit) = -1.81

Cell: 5.6939 5.6939 5.6939 Å, 82.89 82.89 82.89°
Closest atoms and distances in Å follow each position.
Atoms (fractional coordinates):
Ti: 0.3340 0.3340 0.3340  16 Be 2.58-2.83
Be: 0.7117 0.0032 0.2854  8 Be 2.13-2.37
Be: 0.2854 0.0032 0.7117  8 Be 2.13-2.37
Be: 0.0022 0.4993 0.0022  10 Be 2.13-2.32
Be: 0.2854 0.7117 0.0032  8 Be 2.13-2.37
Be: 0.1587 0.6547 0.6547  9 Be 2.19-2.38
Pu: 0.6602 0.6602 0.6602  19 Be 2.71-2.91
Be: 0.0032 0.7117 0.2854  8 Be 2.13-2.37
Be: 0.0022 0.0022 0.4993  10 Be 2.13-2.32
Be: 0.8464 0.3406 0.3406  9 Be 2.16-2.37
Be: 0.3406 0.3406 0.8464  9 Be 2.16-2.37
Be: 0.6547 0.1587 0.6547  9 Be 2.19-2.38
Be: 0.0032 0.2854 0.7117  8 Be 2.13-2.37
Be: 0.6547 0.6547 0.1587  9 Be 2.19-2.38
Be: 0.0999 0.0999 0.0999  7 Be 2.14-2.31
Be: 0.9058 0.9058 0.9058  7 Be 2.14-2.38
Be: 0.3406 0.8464 0.3406  9 Be 2.16-2.37
Be: 0.4993 0.0022 0.0022  10 Be 2.13-2.32
Be: 0.7117 0.2854 0.0032  8 Be 2.13-2.37

(9)
The following is a PBE-GGA calculation of a relaxed structure of PuTi2Be, from Alexandria.

- space group = Fm-3m, No. 225
- DOS at the Fermi energy (states/eV/f.u.) = 7.4
- crystal system = cubic
- excess energy over the best structure of this formula in the dataset (eV per formula unit) = 0.740
- formation energy from the elements (eV per formula unit) = 0.93

Cell: 4.5193 4.5193 4.5193 Å, 60.00 60.00 60.00°
Closest atoms and distances in Å follow each position.
Atoms (fractional coordinates):
Pu: 0.0000 0.0000 0.0000  8 Ti 2.77
Ti: 0.2500 0.2500 0.2500  4 Pu 2.77, 4 Be 2.77
Ti: 0.7500 0.7500 0.7500  4 Pu 2.77, 4 Be 2.77
Be: 0.5000 0.5000 0.5000  8 Ti 2.77

(10)
The following is a PBE-GGA calculation of a relaxed structure of PuTi2Be, from Alexandria.

- space group = P4/mmm, No. 123
- DOS at the Fermi energy (states/eV/f.u.) = 4.0
- crystal system = tetragonal
- excess energy over the best structure of this formula in the dataset (eV per formula unit) = 0.000
- formation energy from the elements (eV per formula unit) = 0.19

Cell: 2.9959 2.9959 7.3394 Å, 90.00 90.00 90.00°
Closest atoms and distances in Å follow each position.
Atoms (fractional coordinates):
Pu: 0.5000 0.5000 0.5000  4 Pu 3.00, 8 Ti 3.06
Be: 0.5000 0.5000 0.0000  8 Ti 2.57
Ti: 0.0000 0.0000 0.8010  4 Be 2.57
Ti: 0.0000 0.0000 0.1990  4 Be 2.57

(11)
The following is a PBE-GGA calculation of a relaxed structure of TmPuBe4, from Alexandria.

- space group = F-43m, No. 216
- DOS at the Fermi energy (states/eV/f.u.) = 7.4
- crystal system = cubic
- formation energy from the elements (eV per formula unit) = 0.77

Cell: 4.9486 4.9486 4.9486 Å, 60.00 60.00 60.00°
Closest atoms and distances in Å follow each position.
Atoms (fractional coordinates):
Pu: 0.0000 0.0000 0.0000  12 Be 2.90, 4 Tm 3.03
Be: 0.6236 0.6236 0.6236  6 Be 2.45-2.50
Be: 0.1291 0.6236 0.6236  6 Be 2.45-2.50
Be: 0.6236 0.6236 0.1291  6 Be 2.45-2.50
Tm: 0.2500 0.2500 0.2500  12 Be 2.90, 4 Pu 3.03
Be: 0.6236 0.1291 0.6236  6 Be 2.45-2.50

(12)
The following is a PBE-GGA calculation of a relaxed structure of PuUBe, from Alexandria.

- space group = C2/m, No. 12
- DOS at the Fermi energy (states/eV/f.u.) = 5.6
- crystal system = monoclinic
- formation energy from the elements (eV per formula unit) = 0.26

Cell: 3.7182 3.7182 9.6642 Å, 117.86 117.86 58.92°
Closest atoms and distances in Å follow each position.
Atoms (fractional coordinates):
Pu: 0.3662 0.3662 0.1178  3 U 2.47-2.51, 2 Pu 2.67
Be: 0.6532 0.6532 0.4834  3 Be 2.14-2.17
Pu: 0.6338 0.6338 0.8822  3 U 2.47-2.51, 2 Pu 2.67
U: 0.8184 0.8184 0.2768  3 Pu 2.47-2.51, 3 Be 2.72-2.73
U: 0.1816 0.1816 0.7232  3 Pu 2.47-2.51, 3 Be 2.72-2.73
Be: 0.3468 0.3468 0.5166  3 Be 2.14-2.17

(13)
The following is a PBE-GGA calculation of a relaxed structure of PuBeV2, from Alexandria.

- space group = P4/mmm, No. 123
- DOS at the Fermi energy (states/eV/f.u.) = 5.3
- crystal system = tetragonal
- formation energy from the elements (eV per formula unit) = 0.93

Cell: 3.2850 4.1214 4.1214 Å, 90.00 90.00 90.00°
Closest atoms and distances in Å follow each position.
Atoms (fractional coordinates):
Be: 0.5000 0.0000 0.0000  8 V 2.64, 4 Pu 2.91
V: 0.0000 0.0000 0.5000  4 Be 2.64, 4 Pu 2.64, 4 V 2.91
Pu: 0.5000 0.5000 0.5000  8 V 2.64, 4 Be 2.91
V: 0.0000 0.5000 0.0000  4 Pu 2.64, 4 Be 2.64, 4 V 2.91

(14)
The following is a PBE-GGA calculation of a relaxed structure of PuBeV, from Alexandria.

- space group = Immm, No. 71
- DOS at the Fermi energy (states/eV/f.u.) = 6.7
- crystal system = orthorhombic
- formation energy from the elements (eV per formula unit) = 1.14

Cell: 3.5737 5.9109 5.9109 Å, 58.87 72.40 72.40°
Closest atoms and distances in Å follow each position.
Atoms (fractional coordinates):
Be: 0.5000 0.3039 0.6961  1 Be 2.28, 4 V 2.40
V: 0.8836 0.6164 0.6164  1 V 2.25, 4 Be 2.40
Be: 0.5000 0.6961 0.3039  1 Be 2.28, 4 V 2.40
Pu: 0.1552 0.8448 0.8448  4 V 2.84-2.93, 4 Be 2.93, 1 Pu 3.00
Pu: 0.8448 0.1552 0.1552  4 V 2.84-2.93, 4 Be 2.93, 1 Pu 3.00
V: 0.1164 0.3836 0.3836  1 V 2.25, 4 Be 2.40

(15)
The following is a PBE-GGA calculation of a relaxed structure of YPuBe, from Alexandria.

- space group = C2/m, No. 12
- DOS at the Fermi energy (states/eV/f.u.) = 8.2
- crystal system = monoclinic
- formation energy from the elements (eV per formula unit) = 0.56

Cell: 4.3935 5.7168 6.3151 Å, 70.70 69.64 67.40°
Closest atoms and distances in Å follow each position.
Atoms (fractional coordinates):
Pu: 0.6740 0.7121 0.9399  3 Be 2.75-2.99
Pu: 0.3260 0.2879 0.0601  3 Be 2.75-2.99
Be: 0.3783 0.6169 0.6264  1 Be 2.15
Y: 0.0809 0.1785 0.6597  5 Be 2.83-3.16
Y: 0.9191 0.8215 0.3403  5 Be 2.83-3.16
Be: 0.6217 0.3831 0.3736  1 Be 2.15

(16)
The following is a PBE-GGA calculation of a relaxed structure of PuBeZn11, from Alexandria.

- space group = C2/m, No. 12
- DOS at the Fermi energy (states/eV/f.u.) = 11.2
- crystal system = monoclinic
- formation energy from the elements (eV per formula unit) = -1.05

Cell: 5.1396 6.7124 6.7379 Å, 81.83 67.58 68.13°
Closest atoms and distances in Å follow each position.
Atoms (fractional coordinates):
Zn: 0.0000 0.5000 0.0000  8 Zn 2.57-2.68, 2 Be 2.57
Zn: 0.7072 0.7766 0.7870  1 Be 2.49, 7 Zn 2.57-2.78
Zn: 0.2928 0.2234 0.2130  1 Be 2.49, 7 Zn 2.57-2.78
Zn: 0.5058 0.2234 0.7870  1 Be 2.49, 7 Zn 2.57-2.78
Zn: 0.9842 0.3583 0.6542  7 Zn 2.61-2.88, 1 Be 2.64
Zn: 0.4942 0.7766 0.2130  1 Be 2.49, 7 Zn 2.57-2.78
Zn: 0.5000 0.0000 0.5000  10 Zn 2.57-2.78
Zn: 0.3616 0.6417 0.6542  7 Zn 2.61-2.88, 1 Be 2.64
Be: 0.5000 0.5000 0.0000  10 Zn 2.49-2.64
Zn: 0.0000 0.0000 0.5000  10 Zn 2.57-2.78
Zn: 0.6384 0.3583 0.3458  7 Zn 2.61-2.88, 1 Be 2.64
Pu: 0.0000 0.0000 0.0000  18 Zn 3.10-3.37, 2 Be 3.38
Zn: 0.0158 0.6417 0.3458  7 Zn 2.61-2.88, 1 Be 2.64

(17)
The following is a PBE-GGA calculation of a relaxed structure of PuZrBe, from Alexandria.

- space group = C2/m, No. 12
- DOS at the Fermi energy (states/eV/f.u.) = 4.3
- crystal system = monoclinic
- formation energy from the elements (eV per formula unit) = 0.74

Cell: 3.2702 6.5761 8.6325 Å, 39.49 90.00 104.40°
Closest atoms and distances in Å follow each position.
Atoms (fractional coordinates):
Pu: 0.2483 0.4966 0.0978  2 Pu 2.33
Be: 0.5563 0.1127 0.5469  1 Be 2.14
Zr: 0.8944 0.7887 0.2627  3 Be 2.72-2.78, 3 Zr 2.89-3.00
Be: 0.4437 0.8873 0.4531  1 Be 2.14
Pu: 0.7517 0.5034 0.9022  2 Pu 2.33
Zr: 0.1056 0.2113 0.7373  3 Be 2.72-2.78, 3 Zr 2.89-3.00

(18)
The following is a PBE-GGA calculation of a relaxed structure of RbBe, from Alexandria.

- space group = Fm-3m, No. 225
- DOS at the Fermi energy (states/eV/f.u.) = 2.6
- crystal system = cubic
- excess energy over the best structure of this formula in the dataset (eV per formula unit) = 1.480
- formation energy from the elements (eV per formula unit) = 2.73

Cell: 7.1806 7.1806 7.1806 Å, 90.00 90.00 90.00°
Closest atoms and distances in Å follow each position.
Atoms (fractional coordinates):
Be: 0.5000 0.5000 0.0000  6 Rb 3.59
Rb: 0.5000 0.5000 0.5000  6 Be 3.59
Be: 0.0000 0.0000 0.0000  6 Rb 3.59
Rb: 0.0000 0.5000 0.0000  6 Be 3.59
Rb: 0.5000 0.0000 0.0000  6 Be 3.59
Be: 0.0000 0.5000 0.5000  6 Rb 3.59
Be: 0.5000 0.0000 0.5000  6 Rb 3.59
Rb: 0.0000 0.0000 0.5000  6 Be 3.59

(19)
The following is a PBE-GGA calculation of a relaxed structure of RbBe, from Alexandria.

- space group = P4_2/mnm, No. 136
- DOS at the Fermi energy (states/eV/f.u.) = 1.3
- crystal system = tetragonal
- excess energy over the best structure of this formula in the dataset (eV per formula unit) = 1.013
- formation energy from the elements (eV per formula unit) = 2.26

Cell: 7.2019 7.2019 6.8545 Å, 90.00 90.00 90.00°
Closest atoms and distances in Å follow each position.
Atoms (fractional coordinates):
Rb: 0.1838 0.8162 0.5000  4 Be 3.40-3.52, 1 Rb 3.74
Rb: 0.8162 0.1838 0.5000  4 Be 3.40-3.52, 1 Rb 3.74
Rb: 0.3162 0.3162 0.0000  4 Be 3.40-3.52, 1 Rb 3.74
Rb: 0.6838 0.6838 0.0000  4 Be 3.40-3.52, 1 Rb 3.74
Be: 0.3940 0.3940 0.5000  1 Be 2.16
Be: 0.6060 0.6060 0.5000  1 Be 2.16
Be: 0.8940 0.1060 0.0000  1 Be 2.16
Be: 0.1060 0.8940 0.0000  1 Be 2.16

(20)
The following is a PBE-GGA calculation of a relaxed structure of RbBe, from Alexandria.

- space group = I4/mmm, No. 139
- DOS at the Fermi energy (states/eV/f.u.) = 1.7
- crystal system = tetragonal
- excess energy over the best structure of this formula in the dataset (eV per formula unit) = 0.230
- formation energy from the elements (eV per formula unit) = 1.48

Cell: 13.0955 13.0955 4.2305 Å, 90.00 90.00 90.00°
Closest atoms and distances in Å follow each position.
Atoms (fractional coordinates):
Rb: 0.7522 0.5000 0.0000  2 Be 3.36
Be: 0.2437 0.2437 0.0000  2 Be 2.13
Be: 0.7437 0.7437 0.5000  2 Be 2.13
Rb: 0.5000 0.7522 0.0000  2 Be 3.36
Be: 0.2563 0.2563 0.5000  2 Be 2.13
Be: 0.7563 0.7563 0.0000  2 Be 2.13
Rb: 0.2478 0.5000 0.0000  2 Be 3.36
Be: 0.7437 0.2563 0.5000  2 Be 2.13
Be: 0.2437 0.7563 0.0000  2 Be 2.13
Rb: 0.2522 0.0000 0.5000  2 Be 3.36
Rb: 0.5000 0.2478 0.0000  2 Be 3.36
Be: 0.2563 0.7437 0.5000  2 Be 2.13
Be: 0.7563 0.2437 0.0000  2 Be 2.13
Rb: 0.0000 0.7478 0.5000  2 Be 3.36
Rb: 0.7478 0.0000 0.5000  2 Be 3.36
Rb: 0.0000 0.2522 0.5000  2 Be 3.36